1.
Compound: Mg4C
Source: Alexandria via LeMat-Bulk
Functional: PBE
Structure: optimized geometry

a b c (Å): 3.3271 3.3271 11.1892
angles (deg): 90.00 90.00 120.00
Sites, in units of the cell vectors:
Mg  0.3333  0.6667  0.0955
Mg  0.3333  0.6667  0.3866
Mg  0.6667  0.3333  0.6134
Mg  0.6667  0.3333  0.9045
C  0.0000  0.0000  0.0000

- Formation enthalpy at 0 K: 0.41 eV per atom
- Energy above the most stable polymorph in this dataset: 147 meV/atom
- DOS at the Fermi energy: 0.61 states/eV per atom
- Space-group type: P-3m1 (164)
- VASP energy: -2.707 eV/atom



2.
Compound: DyTmGeRh
Source: Alexandria via LeMat-Bulk
Functional: PBE
Structure: optimized geometry

a b c (Å): 4.1229 5.6548 5.6548
angles (deg): 41.41 90.00 90.00
Sites, in units of the cell vectors:
Dy  0.0000  0.0000  0.0000
Tm  0.5000  0.2802  0.2802
Ge  0.0000  0.7163  0.7163
Rh  0.5000  0.5586  0.5586

- Formation enthalpy at 0 K: -0.88 eV per atom
- Energy above the most stable polymorph in this dataset: 0 meV/atom
- DOS at the Fermi energy: 0.69 states/eV per atom
- Space-group type: Amm2 (38)
- VASP energy: -6.137 eV/atom



3.
Compound: VZn4
Source: Alexandria via LeMat-Bulk
Functional: PBE
Structure: optimized geometry

a b c (Å): 5.0107 5.0107 5.0107
angles (deg): 90.00 90.00 90.00
Sites, in units of the cell vectors:
V  0.0000  0.0000  0.0000
Zn  0.0000  0.0000  0.5000
Zn  0.0000  0.5000  0.0000
Zn  0.5000  0.0000  0.0000
Zn  0.5000  0.5000  0.5000

- Formation enthalpy at 0 K: 0.89 eV per atom
- Energy above the most stable polymorph in this dataset: 812 meV/atom
- DOS at the Fermi energy: 0.86 states/eV per atom
- Space-group type: Pm-3m (221)
- VASP energy: -1.957 eV/atom